## a
A geometry-optimized Tm2BeIn structure. Source: the Alexandria database, functional PBE.

Results
Fermi-level density of states = 13.26 states/eV per cell

a b c (Å): 7.129 7.129 7.129
angles (deg): 90.00 90.00 90.00
Space group Fm-3m (No. 225)
One atom of each set of equivalent atoms:
1 Tm 0.250 0.250 0.250
2 Be 0.000 0.000 0.000
3 In 0.000 0.000 0.500

## b
A geometry-optimized Tm2BeIn structure. Source: the Alexandria database, functional PBE.

Results
Fermi-level density of states = 9.18 states/eV per cell

a b c (Å): 3.4082 3.4082 31.0163
angles (deg): 90.00 90.00 120.00
Space group R-3m (No. 166, hexagonal axes)
One atom of each set of equivalent atoms:
1 Tm 0.0000 0.0000 0.1034
2 Be 0.0000 0.0000 0.5000
3 In 0.0000 0.0000 0.0000

## c
A geometry-optimized Tm2BeIn structure. Source: the Alexandria database, functional PBE.

Results
Fermi-level density of states = 1.92 states/eV per cell

a b c (Å): 3.470 3.470 7.342
angles (deg): 90.00 90.00 90.00
Space group P4/mmm (No. 123)
One atom of each set of equivalent atoms:
1 Tm 0.000 0.000 0.218
2 Be 0.500 0.500 0.000
3 In 0.500 0.500 0.500

Q: Which of them is the least stable? A: b.

## a
A geometry-optimized BeV3In structure. Source: the Alexandria database, functional PBE.

Results
Fermi-level density of states = 3.05 states/eV per cell

a b c (Å): 4.196 4.196 4.196
angles (deg): 90.00 90.00 90.00
Space group Pm-3m (No. 221)
One atom of each set of equivalent atoms:
1 Be 0.000 0.000 0.000
2 V 0.000 0.000 0.500
3 In 0.500 0.500 0.500

## b
A geometry-optimized BeV3In structure. Source: the Alexandria database, functional PBE.

Results
Fermi-level density of states = 12.71 states/eV per cell

a b c (Å): 5.020 5.020 5.020
angles (deg): 90.00 90.00 90.00
Space group Pm-3m (No. 221)
One atom of each set of equivalent atoms:
1 Be 0.000 0.000 0.000
2 V 0.000 0.500 0.500
3 In 0.500 0.500 0.500

Q: Which of them is the least stable? A: b.

## a
A geometry-optimized BeIn3W structure. Source: the Alexandria database, functional PBE.

Results
Fermi-level density of states = 4.64 states/eV per cell

a b c (Å): 5.324 5.324 5.324
angles (deg): 90.00 90.00 90.00
Space group Pm-3m (No. 221)
One atom of each set of equivalent atoms:
1 Be 0.000 0.000 0.000
2 In 0.000 0.500 0.500
3 W 0.500 0.500 0.500

## b
A geometry-optimized BeIn3W structure. Source: the Alexandria database, functional PBE.

Results
Fermi-level density of states = 2.59 states/eV per cell

a b c (Å): 4.772 4.772 4.772
angles (deg): 90.00 90.00 90.00
Space group Pm-3m (No. 221)
One atom of each set of equivalent atoms:
1 Be 0.000 0.000 0.000
2 In 0.000 0.000 0.500
3 W 0.500 0.500 0.500

Q: Which of them is the least stable? A: a.